(1)
VASP calculation (GGA-PBE) on a relaxed structure of Tb5ErCd3.

Cell: 9.200 9.200 6.934 Å, 90.00 90.00 120.00°
Fractional coordinates of all 18 atoms:
1 Tb 0.000 0.333 0.250
2 Tb 0.000 0.667 0.750
3 Tb 0.333 0.000 0.250
4 Tb 0.333 0.333 0.750
5 Tb 0.333 0.667 0.000
6 Tb 0.333 0.667 0.500
7 Tb 0.667 0.000 0.750
8 Tb 0.667 0.333 0.000
9 Tb 0.667 0.333 0.500
10 Tb 0.667 0.667 0.250
11 Er 0.000 0.000 0.000
12 Er 0.000 0.000 0.500
13 Cd 0.000 0.333 0.750
14 Cd 0.000 0.667 0.250
15 Cd 0.333 0.000 0.750
16 Cd 0.333 0.333 0.250
17 Cd 0.667 0.000 0.250
18 Cd 0.667 0.667 0.750

Values from the calculation:
As for the space group: No. 193. Its formation energy is -1.70 eV per formula unit.

---

(2)
VASP calculation (GGA-PBE) on a relaxed structure of SmCdC.

Cell: 6.376 6.376 5.061 Å, 90.03 90.03 145.35°
Fractional coordinates of all 6 atoms:
1 Sm 0.172 0.828 0.750
2 Sm 0.828 0.172 0.250
3 Cd 0.432 0.568 0.750
4 Cd 0.568 0.432 0.250
5 C 0.195 0.805 0.250
6 C 0.805 0.195 0.750

Values from the calculation:
The relative energy among the computed polymorphs is 0.292 eV/atom. As for the space group: No. 15. Its formation energy is 0.23 eV per formula unit.

---

(3)
VASP calculation (GGA-PBE) on a relaxed structure of CaLa2Co.

Cell: 9.960 9.960 9.960 Å, 23.37 23.37 23.37°
Fractional coordinates of all 4 atoms:
1 Ca 0.000 0.000 0.000
2 La 0.220 0.220 0.220
3 La 0.450 0.450 0.450
4 Co 0.835 0.835 0.835

Values from the calculation:
The relative energy among the computed polymorphs is 0.000 eV/atom. As for the space group: No. 160. Its formation energy is -0.28 eV per formula unit.

---

(4)
VASP calculation (GGA-PBE) on a relaxed structure of GdPuAgAu.

Cell: 5.169 5.169 5.169 Å, 60.00 60.00 60.00°
Fractional coordinates of all 4 atoms:
1 Gd 0.000 0.000 0.000
2 Pu 0.500 0.500 0.500
3 Ag 0.750 0.750 0.750
4 Au 0.250 0.250 0.250

Values from the calculation:
As for the space group: No. 216. Its formation energy is -1.33 eV per formula unit.